Material: ZrNiPdO4
Method: DFT, GGA+U
State: relaxed

Cell: 5.8112 6.6174 6.2080 Å, 117.97 90.00 116.05°
Closest atoms and distances in Å follow each position.
Positions (direct):
Zr1 0.5000 0.0000 0.5000  6 O 2.11-2.21
O1 0.2287 0.9351 0.2176  1 Ni 1.97, 2 Zr 2.11
Ni1 0.8439 0.6878 0.0939  4 O 1.97-2.09
Ni2 0.1561 0.3122 0.9061  4 O 1.97-2.09
O2 0.7179 0.4358 0.7011  2 Pd 2.08, 1 Ni 2.09, 1 Zr 2.21
Zr2 0.5000 0.0000 0.0000  6 O 2.11-2.21
Pd1 0.5000 0.5000 0.5000  4 O 2.08
O3 0.2821 0.5642 0.2989  2 Pd 2.08, 1 Ni 2.09, 1 Zr 2.21
O4 0.2821 0.5642 0.7653  2 Pd 2.08, 1 Ni 2.09, 1 Zr 2.21
O5 0.7064 0.9351 0.2176  1 Ni 1.97, 2 Zr 2.11
O6 0.7713 0.0649 0.7824  1 Ni 1.97, 2 Zr 2.11
Pd2 0.0000 0.5000 0.5000  4 O 2.08
O7 0.7179 0.4358 0.2347  2 Pd 2.08, 1 Ni 2.09, 1 Zr 2.21
O8 0.2936 0.0649 0.7824  1 Ni 1.97, 2 Zr 2.11

Summary:
The total energy is -47.31 eV/f.u. The value obtained for the theoretical density is 5.82 g/cm³.